This record from the Alexandria database describes a relaxed structure of CrCoNO2. The functional is GGA+U.

Results
**Raw total energy**: -5.608 eV/atom
**Space group**: No. 123

```
CrCoNO2
1.0
3.8528 0.0000 0.0000
0.0000 3.8528 0.0000
0.0000 0.0000 3.3894
Cr Co N O
1 1 1 2
Cartesian
0.0000 0.0000 0.0000 Cr
1.9264 1.9264 1.6947 Co
1.9264 1.9264 0.0000 N
0.0000 1.9264 1.6947 O
1.9264 0.0000 1.6947 O
```